! Mn2CoSbIr, relaxed, DFT GGA-PBEsol; values from VASP
! **Energy relative to the elements, uncorrected**: 1.07 eV/atom
&SYSTEM
  ibrav = 0, nat = 5, ntyp = 4
/
ATOMIC_SPECIES
Mn 54.94 Mn.upf
Co 58.93 Co.upf
Sb 121.76 Sb.upf
Ir 192.22 Ir.upf
ATOMIC_POSITIONS angstrom
Mn 0.0000 2.3474 0.0000
Mn 2.3474 0.0000 0.0000
Co 0.0000 0.0000 2.2513
Sb 2.3474 2.3474 2.2513
Ir 0.0000 0.0000 0.0000
CELL_PARAMETERS angstrom
4.6947 0.0000 0.0000
0.0000 4.6947 0.0000
0.0000 0.0000 4.5025

---

! YHg2AsO, relaxed, DFT GGA-PBEsol; values from VASP
! **Energy relative to the elements, uncorrected**: -0.18 eV/atom
&SYSTEM
  ibrav = 0, nat = 5, ntyp = 4
/
ATOMIC_SPECIES
Y 88.91 Y.upf
Hg 200.59 Hg.upf
As 74.92 As.upf
O 16.00 O.upf
ATOMIC_POSITIONS angstrom
Y 0.0000 0.0000 0.0000
Hg 0.0000 2.3697 2.2416
Hg 2.3697 0.0000 2.2416
As 2.3697 2.3697 0.0000
O 2.3697 2.3697 2.2416
CELL_PARAMETERS angstrom
4.7394 0.0000 0.0000
0.0000 4.7394 0.0000
0.0000 0.0000 4.4831